1.
Density functional theory data (PBE) for a geometry-optimized Tm2Ga5Co4 structure.

Properties
As for the symmetry: Fmmm (69). As for the calculated formation energy: -34 kJ/mol of atoms.

Cell: 8.7483 7.9094 5.2439 Å, 80.62 63.13 36.26°
Closest atoms and distances in Å follow each position.
Fractional positions:
Tm: 0.1491 0.1491 0.8509  6 Co 2.97-3.16, 4 Ga 3.02
Tm: 0.8509 0.8509 0.1491  6 Co 2.97-3.16, 4 Ga 3.02
Ga: 0.0000 0.0000 0.5000  4 Co 2.47, 4 Ga 2.60-2.62
Ga: 0.2500 0.2500 0.2500  4 Co 2.40, 2 Ga 2.60
Ga: 0.5000 0.5000 0.0000  4 Co 2.47, 4 Ga 2.60-2.62
Ga: 0.5000 0.5000 0.5000  4 Co 2.37, 4 Ga 2.62
Ga: 0.7500 0.7500 0.7500  4 Co 2.40, 2 Ga 2.60
Co: 0.2175 0.5269 0.4731  5 Ga 2.37-2.47
Co: 0.4731 0.7825 0.2175  5 Ga 2.37-2.47
Co: 0.5269 0.2175 0.7825  5 Ga 2.37-2.47
Co: 0.7825 0.4731 0.5269  5 Ga 2.37-2.47

---

2.
Density functional theory data (PBE) for a geometry-optimized TmGa8Co2 structure.

Properties
As for the symmetry: P4/mmm (123). As for the calculated formation energy: 2 kJ/mol of atoms.

Cell: 5.6705 5.6705 7.1440 Å, 90.00 90.00 90.00°
Closest atoms and distances in Å follow each position.
Fractional positions:
Tm: 0.0000 0.0000 0.0000  8 Ga 2.99
Ga: 0.2562 0.2562 0.3039  2 Co 2.45
Ga: 0.2562 0.2562 0.6961  2 Co 2.45
Ga: 0.2562 0.7438 0.3039  2 Co 2.45
Ga: 0.2562 0.7438 0.6961  2 Co 2.45
Ga: 0.7438 0.2562 0.3039  2 Co 2.45
Ga: 0.7438 0.2562 0.6961  2 Co 2.45
Ga: 0.7438 0.7438 0.3039  2 Co 2.45
Ga: 0.7438 0.7438 0.6961  2 Co 2.45
Co: 0.0000 0.5000 0.5000  8 Ga 2.45
Co: 0.5000 0.0000 0.5000  8 Ga 2.45

---

3.
Density functional theory data (PBE) for a geometry-optimized TmGa3Co structure.

Properties
The value obtained for the offset from the most stable computed form is 0.151 eV per atom. As for the symmetry: P2_1/c (14). As for the calculated formation energy: -34 kJ/mol of atoms.

Cell: 8.6055 5.6115 7.1287 Å, 90.00 96.11 90.00°
Closest atoms and distances in Å follow each position.
Fractional positions:
Tm: 0.1381 0.1206 0.1866  1 Co 2.84, 8 Ga 2.94-3.18
Tm: 0.1381 0.3794 0.6866  1 Co 2.84, 8 Ga 2.94-3.18
Tm: 0.8619 0.6206 0.3134  1 Co 2.84, 8 Ga 2.94-3.18
Tm: 0.8619 0.8794 0.8134  1 Co 2.84, 8 Ga 2.94-3.18
Ga: 0.1217 0.6208 0.0628  3 Ga 2.55-2.59
Ga: 0.1217 0.8792 0.5628  3 Ga 2.55-2.59
Ga: 0.3054 0.6411 0.3675  3 Co 2.43-2.57, 2 Ga 2.55-2.59
Ga: 0.3054 0.8589 0.8675  3 Co 2.43-2.57, 2 Ga 2.55-2.59
Ga: 0.3967 0.1685 0.4992  4 Co 2.53-2.58, 1 Ga 2.59
Ga: 0.3967 0.3315 0.9992  4 Co 2.53-2.58, 1 Ga 2.59
Ga: 0.6033 0.6685 0.0008  4 Co 2.53-2.58, 1 Ga 2.59
Ga: 0.6033 0.8315 0.5008  4 Co 2.53-2.58, 1 Ga 2.59
Ga: 0.6946 0.1411 0.1325  3 Co 2.43-2.57, 2 Ga 2.55-2.59
Ga: 0.6946 0.3589 0.6325  3 Co 2.43-2.57, 2 Ga 2.55-2.59
Ga: 0.8783 0.1208 0.4372  3 Ga 2.55-2.59
Ga: 0.8783 0.3792 0.9372  3 Ga 2.55-2.59
Co: 0.4504 0.5453 0.6926  7 Ga 2.43-2.58
Co: 0.4504 0.9547 0.1926  7 Ga 2.43-2.58
Co: 0.5496 0.0453 0.8074  7 Ga 2.43-2.58
Co: 0.5496 0.4547 0.3074  7 Ga 2.43-2.58

---

4.
Density functional theory data (PBE) for a geometry-optimized TmGa6Co4 structure.

Properties
As for the symmetry: I-42m (121). As for the calculated formation energy: -31 kJ/mol of atoms.

Cell: 6.2484 6.2484 6.2484 Å, 120.44 120.44 89.25°
Closest atoms and distances in Å follow each position.
Fractional positions:
Tm: 0.0000 0.0000 0.0000  4 Co 3.02, 12 Ga 3.06-3.32
Ga: 0.0000 0.5000 0.5000  4 Co 2.41
Ga: 0.1059 0.4776 0.0000  4 Co 2.33-2.53
Ga: 0.4776 0.1059 0.0000  4 Co 2.33-2.53
Ga: 0.5000 0.0000 0.5000  4 Co 2.41
Ga: 0.5224 0.5224 0.6283  4 Co 2.33-2.53
Ga: 0.8941 0.8941 0.3717  4 Co 2.33-2.53
Co: 0.2601 0.2601 0.6700  6 Ga 2.33-2.53, 2 Co 2.44
Co: 0.4099 0.7399 0.0000  6 Ga 2.33-2.53, 2 Co 2.44
Co: 0.5901 0.5901 0.3300  6 Ga 2.33-2.53, 2 Co 2.44
Co: 0.7399 0.4099 0.0000  6 Ga 2.33-2.53, 2 Co 2.44

---

5.
Density functional theory data (PBE) for a geometry-optimized Tm2GaCo2 structure.

Properties
As for the symmetry: C2/c (15). As for the calculated formation energy: -44 kJ/mol of atoms.

Cell: 5.3437 5.3437 7.4780 Å, 102.51 102.51 59.24°
Closest atoms and distances in Å follow each position.
Fractional positions:
Tm: 0.0036 0.7041 0.8539  6 Co 2.83-2.96, 2 Ga 3.08-3.15
Tm: 0.2959 0.9964 0.6461  6 Co 2.83-2.96, 2 Ga 3.08-3.15
Tm: 0.7041 0.0036 0.3539  6 Co 2.83-2.96, 2 Ga 3.08-3.15
Tm: 0.9964 0.2959 0.1461  6 Co 2.83-2.96, 2 Ga 3.08-3.15
Ga: 0.3660 0.6340 0.2500  4 Co 2.51-2.53
Ga: 0.6340 0.3660 0.7500  4 Co 2.51-2.53
Co: 0.2086 0.5056 0.4937  1 Co 2.28, 2 Ga 2.51-2.53
Co: 0.4944 0.7914 0.0063  1 Co 2.28, 2 Ga 2.51-2.53
Co: 0.5056 0.2086 0.9937  1 Co 2.28, 2 Ga 2.51-2.53
Co: 0.7914 0.4944 0.5063  1 Co 2.28, 2 Ga 2.51-2.53

---

6.
Density functional theory data (PBE) for a geometry-optimized TmGa5Co2 structure.

Properties
As for the symmetry: Immm (71). As for the calculated formation energy: -35 kJ/mol of atoms.

Cell: 6.2633 6.2633 6.2633 Å, 144.65 111.30 79.69°
Closest atoms and distances in Å follow each position.
Fractional positions:
Tm: 0.0000 0.0000 0.0000  4 Co 3.13, 8 Ga 3.22
Ga: 0.1490 0.3466 0.8024  3 Co 2.36-2.51
Ga: 0.4558 0.6534 0.8024  3 Co 2.36-2.51
Ga: 0.5000 0.0000 0.5000  2 Co 2.33
Ga: 0.5442 0.3466 0.1976  3 Co 2.36-2.51
Ga: 0.8510 0.6534 0.1976  3 Co 2.36-2.51
Co: 0.2582 0.7582 0.5000  7 Ga 2.33-2.51
Co: 0.7418 0.2418 0.5000  7 Ga 2.33-2.51

---

7.
Density functional theory data (PBE) for a geometry-optimized Tm12GaCo5 structure.

Properties
As for the symmetry: Immm (71). As for the calculated formation energy: -27 kJ/mol of atoms.

Cell: 8.0814 8.0814 8.0814 Å, 111.23 110.67 106.55°
Closest atoms and distances in Å follow each position.
Fractional positions:
Tm: 0.0388 0.2274 0.8115  2 Co 2.64-2.80
Tm: 0.1808 0.2801 0.4608  4 Co 2.83-3.05
Tm: 0.1808 0.7199 0.9007  4 Co 2.83-3.05
Tm: 0.3242 0.0151 0.6909  3 Co 2.67-2.81
Tm: 0.3242 0.6333 0.3091  3 Co 2.67-2.81
Tm: 0.4159 0.2274 0.1885  2 Co 2.64-2.80
Tm: 0.5841 0.7726 0.8115  2 Co 2.64-2.80
Tm: 0.6758 0.3667 0.6909  3 Co 2.67-2.81
Tm: 0.6758 0.9849 0.3091  3 Co 2.67-2.81
Tm: 0.8192 0.2801 0.0993  4 Co 2.83-3.05
Tm: 0.8192 0.7199 0.5392  4 Co 2.83-3.05
Tm: 0.9612 0.7726 0.1885  2 Co 2.64-2.80
Ga: 0.5000 0.5000 0.0000  8 Tm 3.15-3.29
Co: 0.0000 0.0000 0.0000  8 Tm 2.80-3.05
Co: 0.1153 0.6153 0.5000  1 Co 2.23
Co: 0.3474 0.0000 0.3474  6 Tm 2.64-2.81, 1 Co 2.81
Co: 0.6526 0.0000 0.6526  6 Tm 2.64-2.81, 1 Co 2.81
Co: 0.8847 0.3847 0.5000  1 Co 2.23

---

8.
Density functional theory data (PBE) for a geometry-optimized Tm2Ga2Co structure.

Properties
As for the symmetry: C2/m (12). As for the calculated formation energy: -53 kJ/mol of atoms.

Cell: 5.6592 5.6592 10.4914 Å, 113.50 113.50 40.45°
Closest atoms and distances in Å follow each position.
Fractional positions:
Tm: 0.0056 0.0056 0.3332  3 Co 2.92-3.15, 7 Ga 2.94-3.21
Tm: 0.1924 0.1924 0.1240  2 Co 2.88, 6 Ga 3.00-3.06
Tm: 0.8076 0.8076 0.8760  2 Co 2.88, 6 Ga 3.00-3.06
Tm: 0.9944 0.9944 0.6668  3 Co 2.92-3.15, 7 Ga 2.94-3.21
Ga: 0.3376 0.3376 0.4436  3 Co 2.39-2.60
Ga: 0.4744 0.4744 0.1126  1 Co 2.57, 1 Ga 2.64
Ga: 0.5256 0.5256 0.8874  1 Co 2.57, 1 Ga 2.64
Ga: 0.6624 0.6624 0.5564  3 Co 2.39-2.60
Co: 0.2915 0.2915 0.6683  4 Ga 2.39-2.60
Co: 0.7085 0.7085 0.3317  4 Ga 2.39-2.60

---

9.
Density functional theory data (PBE) for a geometry-optimized Tm5GaCo4 structure.

Properties
As for the symmetry: P4/mmm (123). As for the calculated formation energy: -29 kJ/mol of atoms.

Cell: 3.3210 3.3210 16.9006 Å, 90.00 90.00 90.00°
Closest atoms and distances in Å follow each position.
Fractional positions:
Tm: 0.0000 0.0000 0.0000  8 Co 2.86
Tm: 0.0000 0.0000 0.1928  8 Co 2.85-2.89
Tm: 0.0000 0.0000 0.3857  4 Co 2.83, 4 Ga 3.04
Tm: 0.0000 0.0000 0.6143  4 Co 2.83, 4 Ga 3.04
Tm: 0.0000 0.0000 0.8072  8 Co 2.85-2.89
Ga: 0.5000 0.5000 0.5000  8 Tm 3.04, 4 Ga 3.32
Co: 0.5000 0.5000 0.0969  8 Tm 2.85-2.86
Co: 0.5000 0.5000 0.2923  8 Tm 2.83-2.89
Co: 0.5000 0.5000 0.7077  8 Tm 2.83-2.89
Co: 0.5000 0.5000 0.9031  8 Tm 2.85-2.86

---

10.
Density functional theory data (PBE) for a geometry-optimized TmGa2Co structure.

Properties
As for the symmetry: R-3m (166). As for the calculated formation energy: -43 kJ/mol of atoms.

Cell: 5.4610 5.4610 5.4610 Å, 43.65 43.65 43.65°
Closest atoms and distances in Å follow each position.
Fractional positions:
Tm: 0.0000 0.0000 0.0000  8 Ga 2.94-3.16
Ga: 0.2134 0.2134 0.2134  3 Co 2.44, 3 Ga 2.72
Ga: 0.7866 0.7866 0.7866  3 Co 2.44, 3 Ga 2.72
Co: 0.5000 0.5000 0.5000  6 Ga 2.44

---

11.
Density functional theory data (PBE) for a geometry-optimized Tm7Ga2Co2 structure.

Properties
As for the symmetry: Cmmm (65). As for the calculated formation energy: -22 kJ/mol of atoms.

Cell: 6.5296 6.5296 6.7291 Å, 90.00 90.00 109.76°
Closest atoms and distances in Å follow each position.
Fractional positions:
Tm: 0.0000 0.0000 0.0000  2 Co 3.15
Tm: 0.0000 0.5000 0.2520  2 Co 2.57
Tm: 0.0000 0.5000 0.7480  2 Co 2.57
Tm: 0.5000 0.0000 0.2520  2 Co 2.57
Tm: 0.5000 0.0000 0.7480  2 Co 2.57
Tm: 0.5000 0.5000 0.2440  2 Co 2.74, 2 Ga 3.03
Tm: 0.5000 0.5000 0.7560  2 Co 2.74, 2 Ga 3.03
Ga: 0.1689 0.1689 0.5000  1 Ga 2.54
Ga: 0.8311 0.8311 0.5000  1 Ga 2.54
Co: 0.2946 0.7054 0.0000  6 Tm 2.57-2.74
Co: 0.7054 0.2946 0.0000  6 Tm 2.57-2.74

---

12.
Density functional theory data (PBE) for a geometry-optimized TmGa3Co structure.

Properties
The value obtained for the offset from the most stable computed form is 0.000 eV per atom. As for the symmetry: Pnma (62). As for the calculated formation energy: -49 kJ/mol of atoms.

Cell: 8.1438 4.0440 10.3883 Å, 90.00 90.00 90.00°
Closest atoms and distances in Å follow each position.
Fractional positions:
Tm: 0.2003 0.2500 0.0146  8 Ga 2.94-3.20, 2 Co 3.04
Tm: 0.2997 0.7500 0.5146  8 Ga 2.94-3.20, 2 Co 3.04
Tm: 0.7003 0.2500 0.4854  8 Ga 2.94-3.20, 2 Co 3.04
Tm: 0.7997 0.7500 0.9854  8 Ga 2.94-3.20, 2 Co 3.04
Ga: 0.0536 0.2500 0.5846  3 Co 2.45-2.51, 1 Ga 2.63
Ga: 0.1088 0.7500 0.7952  2 Co 2.36
Ga: 0.1470 0.7500 0.2176  2 Co 2.48, 1 Ga 2.63
Ga: 0.3530 0.2500 0.7176  2 Co 2.48, 1 Ga 2.63
Ga: 0.3912 0.2500 0.2952  2 Co 2.36
Ga: 0.4464 0.7500 0.0846  3 Co 2.45-2.51, 1 Ga 2.63
Ga: 0.5536 0.2500 0.9154  3 Co 2.45-2.51, 1 Ga 2.63
Ga: 0.6088 0.7500 0.7048  2 Co 2.36
Ga: 0.6470 0.7500 0.2824  2 Co 2.48, 1 Ga 2.63
Ga: 0.8530 0.2500 0.7824  2 Co 2.48, 1 Ga 2.63
Ga: 0.8912 0.2500 0.2048  2 Co 2.36
Ga: 0.9464 0.7500 0.4154  3 Co 2.45-2.51, 1 Ga 2.63
Co: 0.1109 0.2500 0.3534  7 Ga 2.36-2.51
Co: 0.3891 0.7500 0.8534  7 Ga 2.36-2.51
Co: 0.6109 0.2500 0.1466  7 Ga 2.36-2.51
Co: 0.8891 0.7500 0.6466  7 Ga 2.36-2.51